# NaGa6Cl12

A geometry-optimized NaGa6Cl12 structure (PBE, Alexandria).

Values from the calculation:
Spin magnetization, μB/atom: 0.042
Total DFT energy (no corrections), eV/atom: -3.085
Formation energy from raw total energies, eV/atom: -0.894

Unit cell a=10.291 b=10.291 c=10.291 alpha=112.36 beta=112.36 gamma=112.36
Positions (direct):
Na: 0.000 0.000 0.000
Ga: 0.312 0.580 0.398
Ga: 0.398 0.312 0.580
Ga: 0.420 0.602 0.688
Ga: 0.580 0.398 0.312
Ga: 0.602 0.688 0.420
Ga: 0.688 0.420 0.602
Cl: 0.063 0.332 0.143
Cl: 0.143 0.063 0.332
Cl: 0.197 0.521 0.696
Cl: 0.304 0.803 0.479
Cl: 0.332 0.143 0.063
Cl: 0.479 0.304 0.803
Cl: 0.521 0.696 0.197
Cl: 0.668 0.857 0.937
Cl: 0.696 0.197 0.521
Cl: 0.803 0.479 0.304
Cl: 0.857 0.937 0.668
Cl: 0.937 0.668 0.857

# NaNbGaCl2

A geometry-optimized NaNbGaCl2 structure (PBE, Alexandria).

Values from the calculation:
Spin magnetization, μB/atom: 0.844
Total DFT energy (no corrections), eV/atom: -3.337
Formation energy from raw total energies, eV/atom: 0.285

Unit cell a=5.434 b=5.434 c=5.254 alpha=90.00 beta=90.00 gamma=90.00
Positions (direct):
Na: 0.000 0.000 0.000
Nb: 0.500 0.500 0.000
Ga: 0.500 0.500 0.500
Cl: 0.000 0.500 0.500
Cl: 0.500 0.000 0.500

# NaNpGaCl6

A geometry-optimized NaNpGaCl6 structure (PBE, Alexandria).

Values from the calculation:
Spin magnetization, μB/atom: 0.333
Total DFT energy (no corrections), eV/atom: -4.638
Formation energy from raw total energies, eV/atom: -1.486

Unit cell a=6.647 b=6.647 c=12.731 alpha=90.00 beta=90.00 gamma=90.00
Positions (direct):
Na: 0.000 0.000 0.000
Na: 0.500 0.500 0.500
Np: 0.000 0.000 0.666
Np: 0.500 0.500 0.166
Ga: 0.000 0.000 0.332
Ga: 0.500 0.500 0.832
Cl: 0.186 0.186 0.820
Cl: 0.192 0.192 0.516
Cl: 0.221 0.221 0.160
Cl: 0.279 0.721 0.660
Cl: 0.308 0.692 0.016
Cl: 0.314 0.686 0.320
Cl: 0.686 0.314 0.320
Cl: 0.692 0.308 0.016
Cl: 0.721 0.279 0.660
Cl: 0.779 0.779 0.160
Cl: 0.808 0.808 0.516
Cl: 0.814 0.814 0.820

# Na4Ga3Si3ClO12

A geometry-optimized Na4Ga3Si3ClO12 structure (PBE, Alexandria).

Values from the calculation:
Spin magnetization, μB/atom: 0.000
Total DFT energy (no corrections), eV/atom: -6.293
Formation energy from raw total energies, eV/atom: -2.294

Unit cell a=9.045 b=9.045 c=9.045 alpha=90.00 beta=90.00 gamma=90.00
Positions (direct):
Na: 0.173 0.173 0.173
Na: 0.173 0.827 0.827
Na: 0.327 0.327 0.673
Na: 0.327 0.673 0.327
Na: 0.673 0.327 0.327
Na: 0.673 0.673 0.673
Na: 0.827 0.173 0.827
Na: 0.827 0.827 0.173
Ga: 0.000 0.250 0.500
Ga: 0.000 0.750 0.500
Ga: 0.250 0.500 0.000
Ga: 0.500 0.000 0.250
Ga: 0.500 0.000 0.750
Ga: 0.750 0.500 0.000
Si: 0.000 0.500 0.250
Si: 0.000 0.500 0.750
Si: 0.250 0.000 0.500
Si: 0.500 0.250 0.000
Si: 0.500 0.750 0.000
Si: 0.750 0.000 0.500
Cl: 0.000 0.000 0.000
Cl: 0.500 0.500 0.500
O: 0.073 0.366 0.651
O: 0.073 0.634 0.349
O: 0.134 0.427 0.151
O: 0.134 0.573 0.849
O: 0.151 0.134 0.427
O: 0.151 0.866 0.573
O: 0.349 0.073 0.634
O: 0.349 0.927 0.366
O: 0.366 0.349 0.927
O: 0.366 0.651 0.073
O: 0.427 0.151 0.134
O: 0.427 0.849 0.866
O: 0.573 0.151 0.866
O: 0.573 0.849 0.134
O: 0.634 0.349 0.073
O: 0.634 0.651 0.927
O: 0.651 0.073 0.366
O: 0.651 0.927 0.634
O: 0.849 0.134 0.573
O: 0.849 0.866 0.427
O: 0.866 0.427 0.849
O: 0.866 0.573 0.151
O: 0.927 0.366 0.349
O: 0.927 0.634 0.651

# NaGaPCl2

A geometry-optimized NaGaPCl2 structure (PBE, Alexandria).

Values from the calculation:
Spin magnetization, μB/atom: 0.601
Energy above the lowest structure with this stoichiometry, eV per atom: 0.421
Total DFT energy (no corrections), eV/atom: -2.716
Formation energy from raw total energies, eV/atom: -0.026

Unit cell a=5.270 b=5.270 c=5.413 alpha=90.00 beta=90.00 gamma=90.00
Positions (direct):
Na: 0.000 0.000 0.000
Ga: 0.500 0.500 0.500
P: 0.000 0.000 0.500
Cl: 0.000 0.500 0.000
Cl: 0.500 0.000 0.000

# NaGaPCl2

A geometry-optimized NaGaPCl2 structure (PBE, Alexandria).

Values from the calculation:
Spin magnetization, μB/atom: 0.281
Energy above the lowest structure with this stoichiometry, eV per atom: 0.000
Total DFT energy (no corrections), eV/atom: -3.137
Formation energy from raw total energies, eV/atom: -0.447

Unit cell a=5.189 b=5.189 c=4.747 alpha=90.00 beta=90.00 gamma=90.00
Positions (direct):
Na: 0.000 0.000 0.000
Ga: 0.500 0.500 0.500
P: 0.500 0.500 0.000
Cl: 0.000 0.500 0.500
Cl: 0.500 0.000 0.500

# Na2PaGaCl8

A geometry-optimized Na2PaGaCl8 structure (PBE, Alexandria).

Values from the calculation:
Spin magnetization, μB/atom: 0.008
Total DFT energy (no corrections), eV/atom: -4.096
Formation energy from raw total energies, eV/atom: -1.602

Unit cell a=6.519 b=8.937 c=6.653 alpha=90.00 beta=92.51 gamma=90.00
Positions (direct):
Na: 0.000 0.215 0.000
Na: 0.000 0.785 0.000
Pa: 0.500 0.500 0.500
Ga: 0.500 0.000 0.500
Cl: 0.208 0.000 0.195
Cl: 0.226 0.500 0.206
Cl: 0.302 0.294 0.675
Cl: 0.302 0.706 0.675
Cl: 0.698 0.294 0.325
Cl: 0.698 0.706 0.325
Cl: 0.774 0.500 0.794
Cl: 0.792 0.000 0.805

# NaGa2PbCl8

A geometry-optimized NaGa2PbCl8 structure (PBE, Alexandria).

Values from the calculation:
Spin magnetization, μB/atom: 0.000
Total DFT energy (no corrections), eV/atom: -3.263
Formation energy from raw total energies, eV/atom: -1.109

Unit cell a=7.580 b=7.580 c=8.054 alpha=90.00 beta=90.00 gamma=120.00
Positions (direct):
Na: 0.000 0.000 0.000
Ga: 0.333 0.667 0.840
Ga: 0.667 0.333 0.160
Pb: 0.000 0.000 0.500
Cl: 0.168 0.336 0.743
Cl: 0.168 0.832 0.743
Cl: 0.333 0.667 0.111
Cl: 0.336 0.168 0.257
Cl: 0.664 0.832 0.743
Cl: 0.667 0.333 0.889
Cl: 0.832 0.168 0.257
Cl: 0.832 0.664 0.257

no.,calculated density (g/cm3)
1,2.0
2,2.7
3,3.2
4,2.8
5,2.1
6,2.5
7,2.7
8,2.7